First-principles (PBE) data for a geometry-optimized Eu2BiPb structure, as listed in the Alexandria database.

Properties
The value obtained for the density of states at the Fermi level is 11.71 states/eV/cell. The value obtained for the energy relative to the elements is -0.655 eV per atom. For the excess energy over the best structure of this formula in the dataset, the calculation gives 0 meV per atom.

Cell: 5.3071 5.3071 4.5706 Å, 90.00 90.00 90.00°
With the nearest neighbours (Å) after each atom.
Space group P4/mmm (No. 123)
Unique sites:
Eu 0.0000 0.5000 0.0000 [2 per cell]  4 Pb 3.50, 4 Bi 3.50, 4 Eu 3.75
Bi 0.0000 0.0000 0.5000 [1 per cell]  8 Eu 3.50, 4 Pb 3.75
Pb 0.5000 0.5000 0.5000 [1 per cell]  8 Eu 3.50, 4 Bi 3.75


First-principles (PBE) data for a geometry-optimized BeReAu structure, as listed in the Alexandria database.

Properties
The value obtained for the density of states at the Fermi level is 4.40 states/eV/cell. The value obtained for the energy relative to the elements is 0.259 eV per atom. For the excess energy over the best structure of this formula in the dataset, the calculation gives 18 meV per atom.

Cell: 3.5010 4.0872 11.6509 Å, 90.00 90.00 90.00°
With the nearest neighbours (Å) after each atom.
Space group Fmm2 (No. 42)
Unique sites:
Be 0.0000 0.0000 0.0000 [4 per cell]  4 Re 2.44-2.66, 4 Au 2.50-2.71, 4 Be 2.69
Re 0.0000 0.0000 0.3538 [4 per cell]  4 Be 2.44-2.66, 4 Re 2.69
Au 0.0000 0.0000 0.6530 [4 per cell]  4 Be 2.50-2.71, 4 Au 2.69


First-principles (PBE) data for a geometry-optimized TaTlIn2Cl8 structure, as listed in the Alexandria database.

Properties
The value obtained for the formation energy (no corrections) is -1121 meV/atom.

Cell: 6.9628 7.0272 8.9127 Å, 80.11 81.85 87.66°
With the nearest neighbours (Å) after each atom.
Space group P-1 (No. 2)
Unique sites:
Ta 0.0000 0.0000 0.0000 [1 per cell]  6 Cl 2.35-2.40
Tl 0.0000 0.0000 0.5000 [1 per cell]  6 Cl 3.14-3.31
In 0.4764 0.4494 0.7462 [2 per cell]  2 Cl 2.81
Cl 0.0452 0.2473 0.7769 [2 per cell]  1 Ta 2.40
Cl 0.1329 0.2070 0.1424 [2 per cell]  1 Ta 2.38
Cl 0.3117 0.8753 0.9301 [2 per cell]  1 Ta 2.35
Cl 0.3685 0.7276 0.5049 [2 per cell]  2 In 2.81, 1 Tl 3.14


First-principles (PBE) data for a geometry-optimized Er2Tl structure, as listed in the Alexandria database.

Properties
The value obtained for the density of states at the Fermi level is 11.79 states/eV/cell. The value obtained for the energy relative to the elements is -0.260 eV per atom.

Cell: 6.7687 5.0428 9.8886 Å, 90.00 90.00 90.00°
With the nearest neighbours (Å) after each atom.
Space group Pnma (No. 62)
Unique sites:
Er 0.0467 0.2500 0.2085 [4 per cell]  5 Tl 3.18-3.48, 4 Er 3.48
Er 0.1709 0.2500 0.5619 [4 per cell]  4 Tl 3.18-3.19, 2 Er 3.48
Tl 0.2069 0.2500 0.8830 [4 per cell]  9 Er 3.18-3.48


First-principles (PBE) data for a geometry-optimized Tb2SmSn structure, as listed in the Alexandria database.

Properties
The value obtained for the density of states at the Fermi level is 11.43 states/eV/cell. The value obtained for the energy relative to the elements is 0.047 eV per atom. For the excess energy over the best structure of this formula in the dataset, the calculation gives 479 meV per atom.

Cell: 3.5309 3.5309 36.0619 Å, 90.00 90.00 120.00°
With the nearest neighbours (Å) after each atom.
Space group R-3m (No. 166, hexagonal axes)
Unique sites:
Tb 0.0000 0.0000 0.0866 [6 per cell]  1 Sn 3.12
Sm 0.0000 0.0000 0.5000 [3 per cell]  6 Sm 3.53, 6 Tb 3.54
Sn 0.0000 0.0000 0.0000 [3 per cell]  2 Tb 3.12


First-principles (PBE) data for a geometry-optimized Ac2PtAu3 structure, as listed in the Alexandria database.

Properties
The value obtained for the density of states at the Fermi level is 35.52 states/eV/cell. The value obtained for the energy relative to the elements is -0.872 eV per atom. For the excess energy over the best structure of this formula in the dataset, the calculation gives 11 meV per atom.

Cell: 7.9619 9.8264 16.1258 Å, 90.00 90.00 90.00°
With the nearest neighbours (Å) after each atom.
Space group Fmmm (No. 69)
Unique sites:
Ac 0.2453 0.0000 0.0000 [8 per cell]  2 Pt 3.20, 10 Au 3.42-3.46
Ac 0.2500 0.2500 0.2500 [8 per cell]  8 Au 3.31-3.41, 4 Pt 3.50
Pt 0.0000 0.0000 0.1570 [8 per cell]  3 Au 2.74-2.77
Au 0.0000 0.0000 0.3289 [8 per cell]  1 Pt 2.77, 2 Au 2.78
Au 0.0000 0.2462 0.4139 [16 per cell]  1 Pt 2.74, 2 Au 2.78


First-principles (PBE) data for a geometry-optimized Pm3Dy2ErS6 structure, as listed in the Alexandria database.

Properties
The value obtained for the formation energy (no corrections) is -2014 meV/atom. The value obtained for the density of states at the Fermi level is 10.54 states/eV/cell.

Cell: 6.8199 11.8534 6.9166 Å, 90.00 109.24 90.00°
With the nearest neighbours (Å) after each atom.
Space group C2/m (No. 12)
Unique sites:
Pm 0.0000 0.0000 0.0000 [2 per cell]  6 S 2.85-2.86
Pm 0.0000 0.3321 0.0000 [4 per cell]  6 S 2.85-2.86
Dy 0.0000 0.1668 0.5000 [4 per cell]  6 S 2.76
Er 0.0000 0.5000 0.5000 [2 per cell]  6 S 2.74
S 0.2440 0.3346 0.7360 [8 per cell]  1 Er 2.74, 2 Dy 2.76, 3 Pm 2.85-2.86
S 0.2481 0.0000 0.7370 [4 per cell]  1 Er 2.74, 2 Dy 2.76, 3 Pm 2.86


First-principles (PBE) data for a geometry-optimized PrPaIn2O8 structure, as listed in the Alexandria database.

Properties
The value obtained for the formation energy (no corrections) is -2110 meV/atom. The value obtained for the density of states at the Fermi level is 13.82 states/eV/cell.

Cell: 7.0929 7.0929 7.4890 Å, 90.00 90.00 90.00°
With the nearest neighbours (Å) after each atom.
Space group I-4m2 (No. 119)
Unique sites:
Pr 0.0000 0.0000 0.0000 [2 per cell]  8 O 2.35-2.59
Pa 0.0000 0.5000 0.7500 [2 per cell]  8 O 2.19-2.41
In 0.0000 0.0000 0.5000 [2 per cell]  4 O 2.07
In 0.0000 0.5000 0.2500 [2 per cell]  4 O 2.04
O 0.0000 0.1946 0.7067 [8 per cell]  1 In 2.07, 1 Pa 2.19
O 0.0000 0.3304 0.0294 [8 per cell]  1 In 2.04


First-principles (PBE) data for a geometry-optimized LaBRuPt2 structure, as listed in the Alexandria database.

Properties
The value obtained for the density of states at the Fermi level is 1.02 states/eV/cell. The value obtained for the energy relative to the elements is -0.640 eV per atom.

Cell: 4.3941 4.3941 4.2784 Å, 90.00 90.00 90.00°
With the nearest neighbours (Å) after each atom.
Space group P4/mmm (No. 123)
Unique sites:
La 0.0000 0.0000 0.0000 [1 per cell]  8 Pt 3.07, 4 Ru 3.11
B 0.5000 0.5000 0.5000 [1 per cell]  2 Ru 2.14, 4 Pt 2.20
Ru 0.5000 0.5000 0.0000 [1 per cell]  2 B 2.14
Pt 0.0000 0.5000 0.5000 [2 per cell]  2 B 2.20


First-principles (PBE) data for a geometry-optimized Na2SnCl4 structure, as listed in the Alexandria database.

Properties
The value obtained for the formation energy (no corrections) is -1295 meV/atom. The value obtained for the density of states at the Fermi level is 0.00 states/eV/cell. For the excess energy over the best structure of this formula in the dataset, the calculation gives 159 meV per atom.

Cell: 5.5670 5.5670 14.7463 Å, 90.00 90.00 90.00°
With the nearest neighbours (Å) after each atom.
Space group I4/mmm (No. 139)
Unique sites:
Na 0.0000 0.0000 0.1367 [4 per cell]  1 Cl 2.59
Sn 0.0000 0.0000 0.5000 [2 per cell]  6 Cl 2.76-2.78
Cl 0.0000 0.0000 0.3127 [4 per cell]  1 Na 2.59, 1 Sn 2.76
Cl 0.0000 0.5000 0.0000 [4 per cell]  2 Sn 2.78


First-principles (PBE) data for a geometry-optimized DyHo2Cd5 structure, as listed in the Alexandria database.

Properties
The value obtained for the density of states at the Fermi level is 6.82 states/eV/cell. The value obtained for the energy relative to the elements is -0.299 eV per atom.

Cell: 5.1167 5.1167 14.9731 Å, 90.00 90.00 90.00°
With the nearest neighbours (Å) after each atom.
Space group I4/mmm (No. 139)
Unique sites:
Dy 0.0000 0.0000 0.0000 [2 per cell]  8 Cd 3.13
Ho 0.0000 0.0000 0.2605 [4 per cell]  8 Cd 3.12-3.31
Cd 0.0000 0.0000 0.5000 [2 per cell]  8 Cd 3.13
Cd 0.0000 0.5000 0.1203 [8 per cell]  4 Ho 3.12-3.31, 2 Cd 3.13, 2 Dy 3.13


First-principles (PBE) data for a geometry-optimized KCuSb3 structure, as listed in the Alexandria database.

Properties
The value obtained for the formation energy (no corrections) is 1594 meV/atom. The value obtained for the density of states at the Fermi level is 7.59 states/eV/cell. For the excess energy over the best structure of this formula in the dataset, the calculation gives 1591 meV per atom.

Cell: 5.8388 5.8388 5.8388 Å, 90.00 90.00 90.00°
With the nearest neighbours (Å) after each atom.
Space group Pm-3m (No. 221)
Unique sites:
K 0.0000 0.0000 0.0000 [1 per cell]  6 Sb 2.92
Cu 0.5000 0.5000 0.5000 [1 per cell]  12 Sb 4.13
Sb 0.0000 0.0000 0.5000 [3 per cell]  2 K 2.92